PBE PrInPt5, relaxed; formation energy = -0.6668 eV/atom; DFT total energy = -6.06 eV per atom
1.0
8.936 0.000 0.000
0.000 5.372 0.000
0.000 0.000 11.110
Pr In Pt
4 4 20
Direct
0.250 0.250 0.061 Pr
0.250 0.750 0.561 Pr
0.750 0.250 0.439 Pr
0.750 0.750 0.939 Pr
0.145 0.250 0.360 In
0.355 0.750 0.860 In
0.645 0.250 0.140 In
0.855 0.750 0.640 In
0.039 0.250 0.584 Pt
0.067 0.505 0.799 Pt
0.067 0.995 0.799 Pt
0.086 0.750 0.012 Pt
0.188 0.750 0.243 Pt
0.312 0.250 0.743 Pt
0.414 0.250 0.512 Pt
0.433 0.005 0.299 Pt
0.433 0.495 0.299 Pt
0.461 0.750 0.084 Pt
0.539 0.250 0.916 Pt
0.567 0.505 0.701 Pt
0.567 0.995 0.701 Pt
0.586 0.750 0.488 Pt
0.688 0.750 0.257 Pt
0.812 0.250 0.757 Pt
0.914 0.250 0.988 Pt
0.933 0.005 0.201 Pt
0.933 0.495 0.201 Pt
0.961 0.750 0.416 Pt